[1]
The following is a DFT calculation (GGA-PBE) of a relaxed structure of Ti4Si2H.

Cell and atoms, written as POSCAR:
```
Ti4Si2H
1.0
-1.050 1.041 -3.392
2.604 -2.176 -1.474
-3.809 -5.908 -2.652
Ti Si H
4 2 1
direct
0.500 0.000 0.000 Ti
0.179 0.179 0.643 Ti
0.821 0.821 0.357 Ti
0.000 0.500 0.000 Ti
0.363 0.363 0.274 Si
0.637 0.637 0.726 Si
0.000 0.000 0.000 H
```

[2]
The following is a DFT calculation (GGA-PBE) of a relaxed structure of Zn2Sn2Pb.

Cell and atoms, written as POSCAR:
```
Zn2Sn2Pb
1.0
-7.284 0.771 -3.595
3.367 -1.808 -7.209
-0.648 -3.475 0.569
Sn Pb Zn
4 2 4
direct
0.817 0.317 0.500 Sn
0.183 0.683 0.500 Sn
0.317 0.183 0.500 Sn
0.683 0.817 0.500 Sn
0.500 0.500 0.000 Pb
0.000 0.000 0.000 Pb
0.114 0.386 0.000 Zn
0.614 0.114 0.000 Zn
0.386 0.886 0.000 Zn
0.886 0.614 0.000 Zn
```

## Properties
**Formation enthalpy at 0 K**: 0.098 eV per atom

[3]
The following is a DFT calculation (GGA-PBE) of a relaxed structure of Sr3YNi.

Cell and atoms, written as POSCAR:
```
Sr3YNi
1.0
-6.319 -0.110 -1.111
0.345 -6.265 -1.344
-1.062 -1.383 6.175
Sr Y Ni
3 1 1
direct
0.000 0.500 0.000 Sr
0.000 0.000 0.500 Sr
0.500 0.000 0.000 Sr
0.000 0.000 0.000 Y
0.500 0.500 0.500 Ni
```

## Properties
**Formation enthalpy at 0 K**: 1.305 eV per atom

Looking at raw total energy for the records above, in order, we have -7.16, -2.75, -2.15 eV per atom.
Looking at spin magnetization for the records above, in order, we have 0.00, 0.00, 0.89 μB/atom.
Looking at V for the records above, in order, we have 96.4, 238.4, 264.2 Å³ per cell.